This record from Alexandria describes a geometry-optimized RbCeI2 structure. The functional is PBE.

Offset from the most stable computed form, meV/atom: 55.7
Energy relative to the elements, uncorrected, eV/atom: -0.94
Space-group type: No. 123

The structure in POSCAR format:
```
RbCeI2
1.0
4.0290 0.0000 0.0000
0.0000 4.0290 0.0000
0.0000 0.0000 8.7712
Rb Ce I
1 1 2
Cartesian
0.0000 0.0000 0.0000
0.0000 0.0000 4.3856
2.0145 2.0145 2.5092
2.0145 2.0145 6.2621
```

This record from Alexandria describes a geometry-optimized In2GeOs structure. The functional is PBE.

Energy of formation from the pure elements, eV per atom: 0.72
Space-group type: No. 122

The structure in POSCAR format:
```
In2GeOs
1.0
-2.0239 2.0239 9.9381
2.0239 -2.0239 9.9381
2.0239 2.0239 -9.9381
In Ge Os
4 2 2
Cartesian
3.0359 0.9835 -2.4845
0.9835 1.0120 2.4845
-1.0120 1.0404 7.4536
1.0404 1.0120 12.4226
2.0239 0.0000 4.9691
0.0000 0.0000 9.9381
0.0000 0.0000 0.0000
0.0000 2.0239 4.9691
```

This record from Alexandria describes a geometry-optimized Cs8Rb3Br structure. The functional is PBE.

Energy relative to the elements, uncorrected, eV/atom: -0.25
Space-group type: No. 186

The structure in POSCAR format:
```
Cs8Rb3Br
1.0
15.0862 0.0000 0.0000
-7.5431 13.0650 0.0000
0.0000 0.0000 12.0730
Cs Rb Br
16 6 2
Cartesian
0.0000 0.0000 2.2338
0.0000 0.0000 8.2703
-2.8416 7.0694 2.3814
0.0000 5.4795 6.0365
-2.7977 10.3253 6.0365
0.0000 8.7100 10.1899
4.7454 2.7397 0.0000
2.8416 7.0694 2.3814
0.0000 11.9912 2.3814
7.5431 1.0739 8.4179
4.7015 5.9956 8.4179
2.7977 10.3253 6.0365
7.5431 4.3550 4.1534
10.3408 2.7397 0.0000
7.5431 7.5855 0.0000
10.3846 5.9956 8.4179
0.0000 3.9661 11.1806
-4.1083 11.0819 11.1806
3.4348 1.9831 5.1441
4.1083 11.0819 11.1806
11.6514 1.9831 5.1441
7.5431 9.0989 5.1441
0.0000 8.7100 4.1447
7.5431 4.3550 10.1812
```

This record from Alexandria describes a geometry-optimized LiCaOs2 structure. The functional is PBE.

Offset from the most stable computed form, meV/atom: 251.7
Energy of formation from the pure elements, eV per atom: 0.57
Space-group type: No. 166

The structure in POSCAR format:
```
LiCaOs2
1.0
1.3901 0.8026 9.5160
-1.3901 0.8026 9.5160
0.0000 -1.6051 9.5160
Li Ca Os
1 1 2
Cartesian
0.0000 0.0000 0.0000
0.0000 0.0000 14.2740
0.0000 0.0000 7.2734
0.0000 0.0000 21.2746
```

This record from Alexandria describes a geometry-optimized K2CdAs structure. The functional is PBE.

Offset from the most stable computed form, meV/atom: 340.3
Energy of formation from the pure elements, eV per atom: 0.08
Space-group type: No. 166

The structure in POSCAR format:
```
K2CdAs
1.0
1.8722 1.0809 11.3707
-1.8722 1.0809 11.3707
0.0000 -2.1619 11.3707
K Cd As
2 1 1
Cartesian
0.0000 0.0000 8.1192
0.0000 0.0000 25.9929
0.0000 0.0000 0.0000
0.0000 0.0000 17.0561
```

This record from Alexandria describes a geometry-optimized Th3As2Rh6 structure. The functional is PBE.

Energy of formation from the pure elements, eV per atom: -0.82
Space-group type: No. 229

The structure in POSCAR format:
```
Th3As2Rh6
1.0
-4.7227 4.7227 4.7227
4.7227 -4.7227 4.7227
4.7227 4.7227 -4.7227
Th As Rh
6 4 12
Cartesian
2.7510 0.0000 0.0000
6.6945 0.0000 0.0000
0.0000 2.7510 0.0000
0.0000 0.0000 2.7510
0.0000 6.6945 0.0000
0.0000 0.0000 6.6945
2.3614 2.3614 -2.3614
2.3614 -2.3614 2.3614
-2.3614 2.3614 2.3614
2.3614 2.3614 2.3614
4.7227 1.4861 -1.4861
4.7227 -1.4861 1.4861
4.7227 1.4861 1.4861
1.4861 4.7227 -1.4861
3.2366 3.2366 0.0000
1.4861 -1.4861 4.7227
3.2366 0.0000 3.2366
-1.4861 4.7227 1.4861
1.4861 4.7227 1.4861
-1.4861 1.4861 4.7227
1.4861 1.4861 4.7227
0.0000 3.2366 3.2366
```

This record from Alexandria describes a geometry-optimized K2Na12Hg structure. The functional is PBE.

Energy of formation from the pure elements, eV per atom: 0.02
Space-group type: No. 125

The structure in POSCAR format:
```
K2Na12Hg
1.0
7.2754 0.0000 0.0000
0.0000 7.2754 0.0000
0.0000 0.0000 23.7936
K Na Hg
4 24 2
Cartesian
1.8188 5.4565 5.8326
1.8188 5.4565 17.9610
5.4565 1.8188 5.8326
5.4565 1.8188 17.9610
0.0000 7.2753 10.0443
7.2753 0.0000 13.7493
7.2753 3.6376 10.0443
0.0000 3.6377 13.7493
0.5801 4.2178 1.5610
0.5801 6.6953 22.2326
1.8188 1.8188 3.9595
1.8188 1.8188 7.4954
1.8188 1.8188 16.2982
1.8188 1.8188 19.8341
3.0576 4.2178 22.2326
3.0576 6.6953 1.5610
3.6377 0.0000 10.0443
3.6376 7.2753 13.7493
3.6376 3.6377 10.0443
3.6377 3.6376 13.7493
4.2178 0.5801 22.2326
4.2178 3.0576 1.5610
5.4565 5.4565 3.9595
5.4565 5.4565 7.4954
5.4565 5.4565 16.2982
5.4565 5.4565 19.8341
6.6953 0.5801 1.5610
6.6953 3.0576 22.2326
1.8188 5.4565 11.8968
5.4565 1.8188 11.8968
```

This record from Alexandria describes a geometry-optimized AgBiN2 structure. The functional is PBE.

Energy relative to the elements, uncorrected, eV/atom: 1.05
Space-group type: No. 122

The structure in POSCAR format:
```
AgBiN2
1.0
-2.6473 2.6473 5.0586
2.6473 -2.6473 5.0586
2.6473 2.6473 -5.0586
Ag Bi N
2 2 4
Cartesian
0.0000 0.0000 0.0000
0.0000 2.6473 2.5293
2.6473 0.0000 2.5293
0.0000 0.0000 5.0586
1.3236 -1.2286 3.7939
1.4186 1.3236 1.2646
1.3236 3.8759 -1.2646
1.2286 1.3236 6.3232
```

This record from Alexandria describes a geometry-optimized Be2CrPt structure. The functional is PBE.

Energy of formation from the pure elements, eV per atom: -0.17
Space-group type: No. 44

The structure in POSCAR format:
```
Be2CrPt
1.0
-1.4893 1.9094 3.9585
1.4893 -1.9094 3.9585
1.4893 1.9094 -3.9585
Be Cr Pt
2 1 1
Cartesian
0.0000 0.0000 0.0000
0.0000 1.9094 2.2186
1.4893 0.0000 2.0634
0.0000 0.0000 4.1540
```

This record from Alexandria describes a geometry-optimized Li2ScZn structure. The functional is PBE.

Energy of formation from the pure elements, eV per atom: -0.06
Space-group type: No. 12

The structure in POSCAR format:
```
Li2ScZn
1.0
5.0419 -1.5552 0.0000
5.0419 1.5552 0.0000
-1.2956 0.0000 4.7036
Li Sc Zn
2 1 1
Cartesian
2.0229 0.0000 1.0255
6.7652 0.0000 3.6781
-0.6478 0.0000 2.3518
5.0419 0.0000 0.0000
```

This record from Alexandria describes a geometry-optimized Cs5K4Hg structure. The functional is PBE.

Energy of formation from the pure elements, eV per atom: -0.03
Space-group type: No. 139

The structure in POSCAR format:
```
Cs5K4Hg
1.0
-7.5938 7.5938 3.7435
7.5938 -7.5938 3.7435
7.5938 7.5938 -3.7435
Cs K Hg
5 4 1
Cartesian
0.0000 0.0000 0.0000
4.9418 4.9418 0.0000
2.6519 -2.6519 3.7435
-2.6519 2.6519 3.7435
2.6519 2.6519 3.7435
5.3091 0.0000 0.0000
9.8785 0.0000 0.0000
0.0000 5.3091 0.0000
0.0000 9.8785 0.0000
0.0000 0.0000 3.7435
```

This record from Alexandria describes a geometry-optimized Be2Pd2Au structure. The functional is PBE.

Offset from the most stable computed form, meV/atom: 65.0
Energy of formation from the pure elements, eV per atom: -0.35
Space-group type: No. 11

The structure in POSCAR format:
```
Be2Pd2Au
1.0
4.3968 0.0000 0.0000
0.0000 3.7041 0.0000
-1.5324 0.0000 8.1655
Be Pd Au
4 4 2
Cartesian
-0.0525 0.9260 3.9296
-0.4961 2.7781 7.1187
3.3605 0.9260 1.0469
2.9169 2.7781 4.2359
1.1570 0.9260 0.2961
0.7315 2.7781 5.1180
2.1329 0.9260 3.0475
1.7074 2.7781 7.8694
-0.0187 2.7781 2.2954
2.8831 0.9260 5.8702
```

Values of ρ, in order: 5.591, 10.045, 1.953, 11.144, 3.193, 11.535, 1.463, 8.077, 9.776, 2.797, 1.964, 10.684, all in g/cm3.
Values of DFT total energy, in order: -3.445, -4.608, -1.204, -6.027, -1.859, -7.697, -1.205, -4.792, -5.946, -2.918, -0.929, -4.570, all in eV per atom.
Values of calculated volume, in order: 35.60, 20.35, 99.15, 15.92, 34.52, 19.15, 41.98, 17.73, 11.26, 18.44, 86.35, 13.30, all in Å³/atom.